A plane-wave DFT calculation with PBEsol was carried out for Nd2CdHg after structural relaxation.

Lattice parameters (Å, degrees): 5.3312 5.3312 5.3312 60.00 60.00 60.00
With the nearest neighbours (Å) after each atom.
Fractional coordinates of all 4 atoms:
Nd: 0.7500 0.7500 0.7500  4 Hg 3.26, 4 Cd 3.26
Nd: 0.2500 0.2500 0.2500  4 Hg 3.26, 4 Cd 3.26
Hg: 0.0000 0.0000 0.0000  8 Nd 3.26
Cd: 0.5000 0.5000 0.5000  8 Nd 3.26

For the density of states at the Fermi level, the calculation gives 4.66 states/eV/f.u. The total DFT energy (no corrections) is -13.82 eV for the cell shown. As for the formation energy: -0.431 eV per atom. The total magnetization comes out at 0.182 μB/atom.

***

A plane-wave DFT calculation with PBEsol was carried out for Cd2NiHg after structural relaxation.

Lattice parameters (Å, degrees): 4.1588 4.0890 4.0890 90.00 90.00 90.00
With the nearest neighbours (Å) after each atom.
Fractional coordinates of all 4 atoms:
Cd: 0.0000 0.0000 0.5000  4 Cd 2.89, 4 Hg 2.92, 4 Ni 2.92
Cd: 0.0000 0.5000 0.0000  4 Cd 2.89, 4 Hg 2.92, 4 Ni 2.92
Hg: 0.5000 0.5000 0.5000  4 Ni 2.89, 8 Cd 2.92
Ni: 0.5000 0.0000 0.0000  4 Hg 2.89, 8 Cd 2.92

For the density of states at the Fermi level, the calculation gives 1.72 states/eV/f.u. The total DFT energy (no corrections) is -8.73 eV for the cell shown. As for the formation energy: 0.096 eV per atom. The total magnetization comes out at 0.000 μB/atom.

***

A plane-wave DFT calculation with PBEsol was carried out for Cd2NiHg after structural relaxation.

Lattice parameters (Å, degrees): 2.9276 4.3930 6.4562 109.97 103.05 90.03
With the nearest neighbours (Å) after each atom.
Fractional coordinates of all 4 atoms:
Ni: 0.2498 0.2498 0.4997  6 Cd 2.64, 2 Hg 2.65, 2 Ni 2.93
Hg: 0.5622 0.0623 0.1243  2 Ni 2.65, 2 Hg 2.93
Cd: 0.9362 0.4362 0.8727  2 Ni 2.64, 2 Cd 2.93
Cd: 0.7517 0.7517 0.5034  4 Ni 2.64, 2 Cd 2.93

For the density of states at the Fermi level, the calculation gives 1.97 states/eV/f.u. The total DFT energy (no corrections) is -9.02 eV for the cell shown. As for the formation energy: 0.024 eV per atom. The total magnetization comes out at 0.000 μB/atom.

***

A plane-wave DFT calculation with PBEsol was carried out for Cd2NiHg after structural relaxation.

Lattice parameters (Å, degrees): 2.9013 4.3811 6.5385 109.57 102.82 90.00
With the nearest neighbours (Å) after each atom.
Fractional coordinates of all 4 atoms:
Ni: 0.0000 0.5000 0.0000  4 Hg 2.63, 4 Cd 2.67, 2 Ni 2.90
Hg: 0.5000 0.0000 0.0000  4 Ni 2.63, 2 Hg 2.90
Cd: 0.6873 0.6873 0.3746  2 Ni 2.67, 2 Cd 2.90
Cd: 0.3127 0.3127 0.6254  2 Ni 2.67, 2 Cd 2.90

For the density of states at the Fermi level, the calculation gives 2.06 states/eV/f.u. The total DFT energy (no corrections) is -9.02 eV for the cell shown. As for the formation energy: 0.024 eV per atom. The total magnetization comes out at 0.000 μB/atom.

***

A plane-wave DFT calculation with PBEsol was carried out for CdNiHg2 after structural relaxation.

Lattice parameters (Å, degrees): 2.8930 4.4232 6.6315 109.45 102.60 90.00
With the nearest neighbours (Å) after each atom.
Fractional coordinates of all 4 atoms:
Cd: 0.0000 0.5000 0.0000  4 Ni 2.64, 2 Cd 2.89
Hg: 0.8175 0.8169 0.6350  2 Ni 2.65, 2 Hg 2.89
Hg: 0.1825 0.1831 0.3650  2 Ni 2.65, 2 Hg 2.89
Ni: 0.5000 0.0000 0.0000  4 Cd 2.64, 4 Hg 2.65, 2 Ni 2.89

For the density of states at the Fermi level, the calculation gives 2.12 states/eV/f.u. The total DFT energy (no corrections) is -8.28 eV for the cell shown. As for the formation energy: 0.051 eV per atom. The total magnetization comes out at 0.000 μB/atom.

***

A plane-wave DFT calculation with PBEsol was carried out for Cd2Ni2Hg after structural relaxation.

Lattice parameters (Å, degrees): 3.7615 6.5926 6.5926 90.00 90.00 90.00
With the nearest neighbours (Å) after each atom.
Fractional coordinates of all 10 atoms:
Ni: 0.0000 0.3720 0.8720  1 Ni 2.39, 2 Hg 2.59
Ni: 0.0000 0.8720 0.6280  1 Ni 2.39, 2 Hg 2.59
Ni: 0.0000 0.6280 0.1280  1 Ni 2.39, 2 Hg 2.59
Ni: 0.0000 0.1280 0.3720  1 Ni 2.39, 2 Hg 2.59
Hg: 0.0000 0.0000 0.0000  4 Ni 2.59
Hg: 0.0000 0.5000 0.5000  4 Ni 2.59
Cd: 0.5000 0.1647 0.6647  6 Ni 2.70-2.71
Cd: 0.5000 0.6647 0.8353  6 Ni 2.70-2.71
Cd: 0.5000 0.8353 0.3353  6 Ni 2.70-2.71
Cd: 0.5000 0.3353 0.1647  6 Ni 2.70-2.71

For the density of states at the Fermi level, the calculation gives 3.23 states/eV/f.u. The total DFT energy (no corrections) is -30.10 eV for the cell shown. As for the formation energy: 0.045 eV per atom. The total magnetization comes out at 0.000 μB/atom.

***

A plane-wave DFT calculation with PBEsol was carried out for CdNiHg2 after structural relaxation.

Lattice parameters (Å, degrees): 2.9065 4.3897 6.5857 109.47 102.75 90.00
With the nearest neighbours (Å) after each atom.
Fractional coordinates of all 4 atoms:
Ni: 0.4998 0.9998 0.9996  6 Hg 2.63-2.69, 2 Cd 2.67, 2 Ni 2.91
Hg: 0.0027 0.5027 0.0055  4 Ni 2.63, 2 Hg 2.91
Hg: 0.8121 0.8121 0.6243  2 Ni 2.69, 2 Hg 2.91
Cd: 0.1853 0.1853 0.3707  2 Ni 2.67, 2 Cd 2.91

For the density of states at the Fermi level, the calculation gives 2.10 states/eV/f.u. The total DFT energy (no corrections) is -8.36 eV for the cell shown. As for the formation energy: 0.031 eV per atom. The total magnetization comes out at 0.000 μB/atom.

***

A plane-wave DFT calculation with PBEsol was carried out for Cd2NiHg after structural relaxation.

Lattice parameters (Å, degrees): 3.0354 3.0354 7.7369 90.00 90.00 90.00
With the nearest neighbours (Å) after each atom.
Fractional coordinates of all 4 atoms:
Ni: 0.5000 0.5000 0.5000  8 Cd 2.67
Hg: 0.5000 0.5000 0.0000  4 Hg 3.04, 8 Cd 3.13
Cd: 0.0000 0.0000 0.7063  4 Ni 2.67
Cd: 0.0000 0.0000 0.2937  4 Ni 2.67

For the density of states at the Fermi level, the calculation gives 1.66 states/eV/f.u. The total DFT energy (no corrections) is -9.02 eV for the cell shown. As for the formation energy: 0.026 eV per atom. The total magnetization comes out at 0.000 μB/atom.

***

A plane-wave DFT calculation with PBEsol was carried out for CdNiHg2 after structural relaxation.

Lattice parameters (Å, degrees): 3.0943 5.0602 5.5815 116.39 105.23 91.84
With the nearest neighbours (Å) after each atom.
Fractional coordinates of all 4 atoms:
Cd: 0.5000 0.5000 0.0000  4 Hg 2.79, 4 Ni 2.92-3.01, 2 Cd 3.09
Hg: 0.0000 0.0000 0.5000  2 Ni 2.79, 2 Cd 2.79, 6 Hg 2.92-3.09
Hg: 0.5000 0.5000 0.5000  2 Cd 2.79, 2 Ni 2.79, 6 Hg 2.92-3.09
Ni: 0.0000 0.0000 0.0000  4 Hg 2.79, 4 Cd 2.92-3.01, 2 Ni 3.09

For the density of states at the Fermi level, the calculation gives 2.32 states/eV/f.u. The total DFT energy (no corrections) is -7.58 eV for the cell shown. As for the formation energy: 0.228 eV per atom. The total magnetization comes out at 0.000 μB/atom.

***

A plane-wave DFT calculation with PBEsol was carried out for Rb2CdHgO after structural relaxation.

Lattice parameters (Å, degrees): 4.2490 6.7590 6.7590 90.00 90.00 90.00
With the nearest neighbours (Å) after each atom.
Fractional coordinates of all 5 atoms:
O: 0.5000 0.0000 0.0000  2 Hg 2.12
Hg: 0.0000 0.0000 0.0000  2 O 2.12
Rb: 0.0000 0.0000 0.5000  2 Hg 3.38
Rb: 0.0000 0.5000 0.0000  2 Hg 3.38
Cd: 0.5000 0.5000 0.5000  8 Rb 3.99, 2 Cd 4.25

The raw formation energy is -73 meV/atom. For the density of states at the Fermi level, the calculation gives 3.10 states/eV/f.u. The total DFT energy (no corrections) is -9.43 eV for the cell shown. The total magnetization comes out at 0.000 μB/atom.

***

A plane-wave DFT calculation with PBEsol was carried out for CdHg2SO6 after structural relaxation.

Lattice parameters (Å, degrees): 6.8051 7.1913 7.3441 73.75 67.29 63.58
With the nearest neighbours (Å) after each atom.
Fractional coordinates of all 20 atoms:
Cd: 0.6677 0.8707 0.7771  6 O 2.24-2.40
Cd: 0.3323 0.1293 0.2229  6 O 2.24-2.40
Hg: 0.1527 0.3607 0.7838  2 O 2.01-2.04
Hg: 0.3460 0.6342 0.2157  2 O 2.02-2.06
Hg: 0.6540 0.3658 0.7843  2 O 2.02-2.06
Hg: 0.8473 0.6393 0.2162  2 O 2.01-2.04
S: 0.2049 0.8634 0.6961  4 O 1.48-1.50
S: 0.7951 0.1366 0.3039  4 O 1.48-1.50
O: 0.0365 0.1013 0.1734  1 S 1.49
O: 0.9635 0.8987 0.8266  1 S 1.49
O: 0.5537 0.8002 0.1345  2 Hg 2.04-2.06, 1 Cd 2.29
O: 0.3462 0.8127 0.8296  1 S 1.50
O: 0.4463 0.1998 0.8655  2 Hg 2.04-2.06, 1 Cd 2.29
O: 0.7899 0.9386 0.4383  1 S 1.49
O: 0.8490 0.5327 0.7285  2 Hg 2.01-2.02, 1 Cd 2.24
O: 0.2101 0.0614 0.5617  1 S 1.49
O: 0.1510 0.4673 0.2715  2 Hg 2.01-2.02, 1 Cd 2.24
O: 0.7031 0.3123 0.4184  1 S 1.48
O: 0.2969 0.6877 0.5816  1 S 1.48
O: 0.6538 0.1873 0.1704  1 S 1.50

The raw formation energy is -977 meV/atom. The total DFT energy (no corrections) is -95.96 eV for the cell shown. The total magnetization comes out at 0.000 μB/atom.

***

A plane-wave DFT calculation with PBEsol was carried out for CdHg2SeO6 after structural relaxation.

Lattice parameters (Å, degrees): 6.9294 7.1960 8.0314 101.02 110.88 115.06
With the nearest neighbours (Å) after each atom.
Fractional coordinates of all 20 atoms:
Cd: 0.4529 0.0641 0.7888  5 O 2.22-2.30
Cd: 0.5471 0.9359 0.2112  5 O 2.22-2.30
Hg: 0.4873 0.5735 0.7975  2 O 2.03-2.06
Hg: 0.5127 0.4265 0.2025  2 O 2.03-2.06
Hg: 0.0178 0.4327 0.1969  2 O 2.02-2.05
Hg: 0.9822 0.5673 0.8031  2 O 2.02-2.05
Se: 0.8885 0.0146 0.6963  4 O 1.65-1.68
Se: 0.1115 0.9854 0.3037  4 O 1.65-1.68
O: 0.7919 0.1203 0.5402  1 Se 1.67
O: 0.2081 0.8797 0.4598  1 Se 1.67
O: 0.1960 0.1734 0.8176  1 Se 1.68
O: 0.8040 0.8266 0.1824  1 Se 1.68
O: 0.3314 0.7508 0.8482  2 Hg 2.05-2.06, 1 Cd 2.26
O: 0.6686 0.2492 0.1518  2 Hg 2.05-2.06, 1 Cd 2.26
O: 0.2102 0.2535 0.4059  1 Se 1.65
O: 0.7898 0.7465 0.5941  1 Se 1.65
O: 0.6543 0.4006 0.7910  2 Hg 2.02-2.03, 1 Cd 2.22
O: 0.3457 0.5994 0.2090  2 Hg 2.02-2.03, 1 Cd 2.22
O: 0.7963 0.0490 0.8607  1 Se 1.68
O: 0.2037 0.9510 0.1393  1 Se 1.68

The raw formation energy is -638 meV/atom. The total DFT energy (no corrections) is -88.11 eV for the cell shown. The total magnetization comes out at 0.000 μB/atom.

***

A plane-wave DFT calculation with PBEsol was carried out for SrCdHgO2 after structural relaxation.

Lattice parameters (Å, degrees): 4.4674 4.4674 5.0520 90.00 90.00 90.00
With the nearest neighbours (Å) after each atom.
Fractional coordinates of all 5 atoms:
Sr: 0.5000 0.5000 0.5000  4 Hg 3.16, 8 O 3.37
Hg: 0.0000 0.0000 0.5000  2 Cd 2.53
O: 0.0000 0.5000 0.0000  2 Cd 2.23
O: 0.5000 0.0000 0.0000  2 Cd 2.23
Cd: 0.0000 0.0000 0.0000  4 O 2.23

The raw formation energy is -540 meV/atom. For the density of states at the Fermi level, the calculation gives 1.21 states/eV/f.u. The total DFT energy (no corrections) is -16.80 eV for the cell shown. The total magnetization comes out at 0.000 μB/atom.

***

A plane-wave DFT calculation with PBEsol was carried out for CdHgOs after structural relaxation.

Lattice parameters (Å, degrees): 2.8957 2.8838 7.4924 84.43 78.86 59.86
With the nearest neighbours (Å) after each atom.
Fractional coordinates of all 3 atoms:
Os: 0.6654 0.0000 0.6692  2 Cd 2.76, 2 Hg 2.80, 6 Os 2.88-2.90
Hg: 0.3286 0.0000 0.3428  2 Os 2.80, 6 Hg 2.88-2.90, 2 Cd 2.98
Cd: 0.0060 0.0000 0.9881  2 Os 2.76, 6 Cd 2.88-2.90, 2 Hg 2.98

For the density of states at the Fermi level, the calculation gives 2.55 states/eV/f.u. The total DFT energy (no corrections) is -12.00 eV for the cell shown. As for the formation energy: 0.659 eV per atom. The total magnetization comes out at 0.001 μB/atom.